HoB2 | PBE-GGA | optimized geometry

Output
Calculated volume = 399.2 Å³/cell
DFT total energy = -0.2294 Ry per atom
Excess energy over the best structure of this formula in the dataset = 3449.1 meV per atom

Geometry as CIF:
```
data_HoB2
_chemical_formula_sum 'Ho2 B4'
_space_group_name_H-M_alt 'P 1'
_space_group_IT_number 1
_cell_length_a 8.265
_cell_length_b 8.265
_cell_length_c 8.265
_cell_angle_alpha 60.00
_cell_angle_beta 60.00
_cell_angle_gamma 60.00
loop_
_space_group_symop_operation_xyz
'x,y,z'
loop_
_atom_site_label
_atom_site_fract_x
_atom_site_fract_y
_atom_site_fract_z
B1 0.875 0.375 0.375
B2 0.375 0.875 0.375
Ho1 0.250 0.250 0.250
B3 0.375 0.375 0.375
B4 0.375 0.375 0.875
Ho2 0.500 0.500 0.500
```

---

Nd2Ho2BI5 | PBE-GGA | optimized geometry

Output
Calculated volume = 349.7 Å³/cell
DFT total energy = -0.3230 Ry per atom

Geometry as CIF:
```
data_Nd2Ho2BI5
_chemical_formula_sum 'Nd2 Ho2 B1 I5'
_space_group_name_H-M_alt 'P 1'
_space_group_IT_number 1
_cell_length_a 9.960
_cell_length_b 9.960
_cell_length_c 8.919
_cell_angle_alpha 102.10
_cell_angle_beta 102.10
_cell_angle_gamma 23.86
loop_
_space_group_symop_operation_xyz
'x,y,z'
loop_
_atom_site_label
_atom_site_fract_x
_atom_site_fract_y
_atom_site_fract_z
I1 0.167 0.167 0.327
Ho1 0.368 0.368 0.934
Nd1 0.001 0.001 0.799
I2 0.833 0.833 0.673
I3 0.828 0.828 0.162
Nd2 0.999 0.999 0.201
I4 0.500 0.500 0.500
I5 0.172 0.172 0.838
B1 0.500 0.500 0.000
Ho2 0.632 0.632 0.066
```

---

Ho2Sc2BI5 | PBE-GGA | optimized geometry

Output
Calculated volume = 340.1 Å³/cell
DFT total energy = -0.3434 Ry per atom

Geometry as CIF:
```
data_Ho2Sc2BI5
_chemical_formula_sum 'Ho2 Sc2 B1 I5'
_space_group_name_H-M_alt 'P 1'
_space_group_IT_number 1
_cell_length_a 10.533
_cell_length_b 10.533
_cell_length_c 8.498
_cell_angle_alpha 101.38
_cell_angle_beta 101.38
_cell_angle_gamma 21.60
loop_
_space_group_symop_operation_xyz
'x,y,z'
loop_
_atom_site_label
_atom_site_fract_x
_atom_site_fract_y
_atom_site_fract_z
I1 0.846 0.846 0.166
I2 0.154 0.154 0.834
B1 0.500 0.500 0.000
Sc1 0.615 0.615 0.056
Ho1 0.000 0.000 0.803
I3 0.846 0.846 0.683
I4 0.154 0.154 0.317
I5 0.500 0.500 0.500
Sc2 0.385 0.385 0.944
Ho2 0.000 0.000 0.197
```

---

Sm2Ho2BI5 | PBE-GGA | optimized geometry

Output
Calculated volume = 340.7 Å³/cell
DFT total energy = -0.3223 Ry per atom

Geometry as CIF:
```
data_Sm2Ho2BI5
_chemical_formula_sum 'Sm2 Ho2 B1 I5'
_space_group_name_H-M_alt 'P 1'
_space_group_IT_number 1
_cell_length_a 9.900
_cell_length_b 9.900
_cell_length_c 8.805
_cell_angle_alpha 102.11
_cell_angle_beta 102.11
_cell_angle_gamma 23.84
loop_
_space_group_symop_operation_xyz
'x,y,z'
loop_
_atom_site_label
_atom_site_fract_x
_atom_site_fract_y
_atom_site_fract_z
I1 0.166 0.166 0.331
Sm1 0.999 0.999 0.200
Ho1 0.632 0.632 0.066
Sm2 0.001 0.001 0.800
I2 0.171 0.171 0.834
I3 0.500 0.500 0.500
I4 0.834 0.834 0.669
B1 0.500 0.500 0.000
I5 0.829 0.829 0.166
Ho2 0.368 0.368 0.934
```

---

Ho2Tm2BI5 | PBE-GGA | optimized geometry

Output
Calculated volume = 328.5 Å³/cell
DFT total energy = -0.3166 Ry per atom

Geometry as CIF:
```
data_Ho2Tm2BI5
_chemical_formula_sum 'Ho2 Tm2 B1 I5'
_space_group_name_H-M_alt 'P 1'
_space_group_IT_number 1
_cell_length_a 9.941
_cell_length_b 9.941
_cell_length_c 8.583
_cell_angle_alpha 102.00
_cell_angle_beta 102.00
_cell_angle_gamma 23.35
loop_
_space_group_symop_operation_xyz
'x,y,z'
loop_
_atom_site_label
_atom_site_fract_x
_atom_site_fract_y
_atom_site_fract_z
I1 0.833 0.833 0.172
I2 0.500 0.500 0.500
B1 0.500 0.500 0.000
I3 0.163 0.163 0.334
Ho1 0.000 0.000 0.806
Tm1 0.628 0.628 0.064
I4 0.837 0.837 0.666
I5 0.167 0.167 0.828
Ho2 0.000 0.000 0.194
Tm2 0.372 0.372 0.936
```

---

HoInB4 | PBE-GGA | optimized geometry

Output
Calculated volume = 69.8 Å³/cell
DFT total energy = -0.4250 Ry per atom
Excess energy over the best structure of this formula in the dataset = 0.0 meV per atom

Geometry as CIF:
```
data_HoInB4
_chemical_formula_sum 'Ho1 In1 B4'
_space_group_name_H-M_alt 'P 1'
_space_group_IT_number 1
_cell_length_a 5.127
_cell_length_b 5.127
_cell_length_c 5.127
_cell_angle_alpha 143.41
_cell_angle_beta 117.46
_cell_angle_gamma 74.69
loop_
_space_group_symop_operation_xyz
'x,y,z'
loop_
_atom_site_label
_atom_site_fract_x
_atom_site_fract_y
_atom_site_fract_z
In1 0.000 0.000 0.000
B1 0.566 0.239 0.327
B2 0.088 0.761 0.327
B3 0.434 0.761 0.673
B4 0.912 0.239 0.673
Ho1 0.500 0.500 0.000
```

---

HoInB | PBE-GGA | optimized geometry

Output
Calculated volume = 65.2 Å³/cell
DFT total energy = -0.2784 Ry per atom
Excess energy over the best structure of this formula in the dataset = 872.6 meV per atom

Geometry as CIF:
```
data_HoInB
_chemical_formula_sum 'Ho1 In1 B1'
_space_group_name_H-M_alt 'P 1'
_space_group_IT_number 1
_cell_length_a 4.517
_cell_length_b 4.517
_cell_length_c 4.517
_cell_angle_alpha 60.00
_cell_angle_beta 60.00
_cell_angle_gamma 60.00
loop_
_space_group_symop_operation_xyz
'x,y,z'
loop_
_atom_site_label
_atom_site_fract_x
_atom_site_fract_y
_atom_site_fract_z
Ho1 0.750 0.750 0.750
B1 0.250 0.250 0.250
In1 0.000 0.000 0.000
```

---

HoInB4 | PBE-GGA | optimized geometry

Output
Calculated volume = 69.2 Å³/cell
DFT total energy = -0.4149 Ry per atom
Excess energy over the best structure of this formula in the dataset = 137.6 meV per atom

Geometry as CIF:
```
data_HoInB4
_chemical_formula_sum 'Ho1 In1 B4'
_space_group_name_H-M_alt 'P 1'
_space_group_IT_number 1
_cell_length_a 3.228
_cell_length_b 3.228
_cell_length_c 7.665
_cell_angle_alpha 90.00
_cell_angle_beta 90.00
_cell_angle_gamma 120.00
loop_
_space_group_symop_operation_xyz
'x,y,z'
loop_
_atom_site_label
_atom_site_fract_x
_atom_site_fract_y
_atom_site_fract_z
In1 0.000 0.000 0.500
B1 0.333 0.667 0.249
B2 0.667 0.333 0.249
Ho1 0.000 0.000 0.000
B3 0.333 0.667 0.751
B4 0.667 0.333 0.751
```